First-principles (GGA-PBE) data for a relaxed TlTe2Cl crystal, as listed in Alexandria.

Calculated values
Space-group type = R-3m (166)
Raw formation energy = 0.136 eV/atom
Offset from the most stable computed form = 538 meV/atom

Unit cell a=10.470 b=10.470 c=10.470 alpha=19.39 beta=19.39 gamma=19.39
Sites, in units of the cell vectors:
Cl 0.250 0.250 0.250
Te 0.996 0.996 0.996
Te 0.504 0.504 0.504
Tl 0.750 0.750 0.750

First-principles (GGA-PBE) data for a relaxed Sm2Si7Ru12 crystal, as listed in Alexandria.

Calculated values
Space-group type = P-6 (174)
Raw formation energy = -0.581 eV/atom

Unit cell a=3.951 b=9.640 c=9.640 alpha=120.00 beta=90.00 gamma=90.00
Sites, in units of the cell vectors:
Sm 0.500 0.000 0.000
Sm 0.000 0.667 0.333
Si 0.000 0.333 0.667
Si 0.000 0.043 0.780
Si 0.000 0.738 0.957
Si 0.000 0.220 0.262
Si 0.500 0.625 0.562
Si 0.500 0.937 0.375
Si 0.500 0.438 0.063
Ru 0.500 0.903 0.618
Ru 0.500 0.716 0.097
Ru 0.500 0.382 0.284
Ru 0.500 0.235 0.777
Ru 0.500 0.542 0.765
Ru 0.500 0.223 0.458
Ru 0.000 0.058 0.543
Ru 0.000 0.485 0.942
Ru 0.000 0.457 0.515
Ru 0.000 0.764 0.723
Ru 0.000 0.960 0.236
Ru 0.000 0.277 0.040

First-principles (GGA-PBE) data for a relaxed BaVPb2Br8 crystal, as listed in Alexandria.

Calculated values
Space-group type = P2/m (10)
Raw formation energy = -1.147 eV/atom

Unit cell a=7.022 b=6.795 c=9.064 alpha=89.99 beta=90.00 gamma=89.44
Sites, in units of the cell vectors:
Ba 0.000 0.000 0.500
V 0.000 0.000 0.000
Pb 0.500 0.500 0.771
Pb 0.500 0.500 0.229
Br 0.146 0.768 0.209
Br 0.684 0.776 0.000
Br 0.854 0.231 0.209
Br 0.854 0.232 0.791
Br 0.316 0.224 0.000
Br 0.146 0.769 0.791
Br 0.626 0.735 0.500
Br 0.374 0.265 0.500

First-principles (GGA-PBE) data for a relaxed SmPaTcMo crystal, as listed in Alexandria.

Calculated values
Space-group type = F-43m (216)
Formation enthalpy at 0 K = 0.196 eV/atom

Unit cell a=4.909 b=4.909 c=4.909 alpha=60.00 beta=60.00 gamma=60.00
Sites, in units of the cell vectors:
Mo 0.000 0.000 0.000
Pa 0.250 0.250 0.250
Tc 0.500 0.500 0.500
Sm 0.750 0.750 0.750

First-principles (GGA-PBE) data for a relaxed ScTc2Ni crystal, as listed in Alexandria.

Calculated values
Space-group type = R-3m (166)
Formation enthalpy at 0 K = 0.276 eV/atom
Offset from the most stable computed form = 399 meV/atom

Unit cell a=9.000 b=9.000 c=9.000 alpha=17.97 beta=17.97 gamma=17.97
Sites, in units of the cell vectors:
Ni 0.250 0.250 0.250
Sc 0.750 0.750 0.750
Tc 0.993 0.993 0.993
Tc 0.507 0.507 0.507

First-principles (GGA-PBE) data for a relaxed AgSn8Pd2 crystal, as listed in Alexandria.

Calculated values
Space-group type = C2/m (12)
Formation enthalpy at 0 K = -0.137 eV/atom

Unit cell a=5.744 b=7.094 c=7.094 alpha=104.59 beta=98.16 gamma=98.16
Sites, in units of the cell vectors:
Ag 0.500 0.000 0.000
Sn 0.847 0.920 0.651
Sn 0.847 0.651 0.920
Sn 0.280 0.667 0.667
Sn 0.500 0.741 0.259
Sn 0.500 0.259 0.741
Sn 0.720 0.333 0.333
Sn 0.153 0.349 0.080
Sn 0.153 0.080 0.349
Pd 0.000 0.315 0.685
Pd 0.000 0.685 0.315

First-principles (GGA-PBE) data for a relaxed Ti15Zn2Sn2 crystal, as listed in Alexandria.

Calculated values
Space-group type = R-3m (166)
Formation enthalpy at 0 K = 0.187 eV/atom

Unit cell a=7.115 b=7.115 c=7.115 alpha=78.07 beta=78.07 gamma=78.07
Sites, in units of the cell vectors:
Ti 0.500 0.000 0.000
Ti 0.000 0.000 0.500
Ti 0.000 0.500 0.000
Ti 0.000 0.300 0.700
Ti 0.300 0.700 0.000
Ti 0.700 0.000 0.300
Ti 0.700 0.300 0.000
Ti 0.300 0.000 0.700
Ti 0.000 0.700 0.300
Ti 0.836 0.377 0.377
Ti 0.377 0.377 0.836
Ti 0.377 0.836 0.377
Ti 0.164 0.623 0.623
Ti 0.623 0.623 0.164
Ti 0.623 0.164 0.623
Zn 0.910 0.910 0.910
Zn 0.090 0.090 0.090
Sn 0.695 0.695 0.695
Sn 0.305 0.305 0.305

First-principles (GGA-PBE) data for a relaxed Tm2Si2NiRh5 crystal, as listed in Alexandria.

Calculated values
Space-group type = P4/mbm (127)
Raw formation energy = -0.812 eV/atom

Unit cell a=3.426 b=9.606 c=9.606 alpha=90.00 beta=90.00 gamma=90.00
Sites, in units of the cell vectors:
Tm 0.000 0.673 0.173
Tm 0.000 0.327 0.827
Tm 0.000 0.173 0.327
Tm 0.000 0.827 0.673
Si 0.000 0.127 0.627
Si 0.000 0.873 0.373
Si 0.000 0.627 0.873
Si 0.000 0.373 0.127
Ni 0.000 0.000 0.000
Ni 0.000 0.500 0.500
Rh 0.500 0.208 0.068
Rh 0.500 0.792 0.932
Rh 0.500 0.068 0.792
Rh 0.500 0.708 0.432
Rh 0.500 0.932 0.208
Rh 0.500 0.292 0.568
Rh 0.500 0.568 0.708
Rh 0.500 0.432 0.292
Rh 0.500 0.500 0.000
Rh 0.500 0.000 0.500